1.
VASP calculation (meta-GGA SCAN) on Sc2PPt at its PBEsol-relaxed geometry.

a b c (Å): 4.4856 4.5543 4.5543
angles (deg): 64.75 60.50 60.50
With the nearest neighbours (Å) after each atom.
Fractional coordinates of all 4 atoms:
P 0.0000 0.5000 0.5000  8 Sc 2.72-2.91
Pt 0.5000 0.0000 0.0000  8 Sc 2.75-2.88
Sc 0.2535 0.7465 0.7465  4 P 2.72-2.91, 4 Pt 2.75-2.88
Sc 0.7465 0.2535 0.2535  4 P 2.72-2.91, 4 Pt 2.75-2.88

E: -2.087 Ry per atom
SG: Immm, No. 71
ΔE_f: -1.132 eV/atom
Energy above the lowest structure with this stoichiometry: 362 meV/atom
Crystal system: orthorhombic

=====

2.
VASP calculation (meta-GGA SCAN) on Sc2PPt at its PBEsol-relaxed geometry.

a b c (Å): 3.5585 3.9130 5.5711
angles (deg): 110.56 108.62 90.00
With the nearest neighbours (Å) after each atom.
Fractional coordinates of all 4 atoms:
P 0.5297 0.5297 0.0594  2 Pt 2.67, 6 Sc 2.68-2.93
Pt 0.2328 0.7328 0.4656  4 Sc 2.65, 2 P 2.67
Sc 0.9859 0.9859 0.9719  4 P 2.68
Sc 0.7516 0.2516 0.5032  4 Pt 2.65, 2 P 2.93

E: -2.093 Ry per atom
SG: Imm2, No. 44
ΔE_f: -1.211 eV/atom
Energy above the lowest structure with this stoichiometry: 283 meV/atom
Crystal system: orthorhombic

=====

3.
VASP calculation (meta-GGA SCAN) on Sc2PPt at its PBEsol-relaxed geometry.

a b c (Å): 3.6397 3.9112 5.2643
angles (deg): 90.00 110.22 90.00
With the nearest neighbours (Å) after each atom.
Fractional coordinates of all 4 atoms:
Sc 0.9828 0.5000 0.9655  3 Pt 2.70-2.89, 4 P 2.73
Sc 0.2673 0.0000 0.5346  3 P 2.70-2.89, 4 Pt 2.73
P 0.5404 0.0000 0.0807  2 Pt 2.57, 5 Sc 2.70-2.73
Pt 0.7096 0.5000 0.4192  2 P 2.57, 5 Sc 2.70-2.73

E: -2.114 Ry per atom
SG: Amm2, No. 38
ΔE_f: -1.494 eV/atom
Energy above the lowest structure with this stoichiometry: 0 meV/atom
Crystal system: orthorhombic

=====

4.
VASP calculation (meta-GGA SCAN) on Sc2PPt at its PBEsol-relaxed geometry.

a b c (Å): 3.5764 3.5764 8.5209
angles (deg): 77.89 77.89 60.00
With the nearest neighbours (Å) after each atom.
Fractional coordinates of all 4 atoms:
Sc 0.8989 0.8989 0.3033  1 P 2.51, 3 Pt 2.63
Sc 0.1011 0.1011 0.6967  1 P 2.51, 3 Pt 2.63
P 0.0000 0.0000 0.0000  2 Sc 2.51
Pt 0.5000 0.5000 0.5000  6 Sc 2.63

E: -2.040 Ry per atom
SG: R-3m, No. 166
ΔE_f: -0.492 eV/atom
Energy above the lowest structure with this stoichiometry: 1002 meV/atom
Crystal system: trigonal

=====

5.
VASP calculation (meta-GGA SCAN) on P2PtSe at its PBEsol-relaxed geometry.

a b c (Å): 4.4385 4.4385 4.4385
angles (deg): 60.00 60.00 60.00
With the nearest neighbours (Å) after each atom.
Fractional coordinates of all 4 atoms:
P 0.0000 0.0000 0.0000  4 P 2.72, 4 Se 2.72
P 0.7500 0.7500 0.7500  4 Pt 2.72, 4 P 2.72
Pt 0.5000 0.5000 0.5000  4 Se 2.72, 4 P 2.72
Se 0.2500 0.2500 0.2500  4 Pt 2.72, 4 P 2.72

Energy relative to the elements, uncorrected: 0.70 eV/atom
E: -1.990 Ry per atom
SG: F-43m, No. 216
Crystal system: cubic

=====

6.
VASP calculation (meta-GGA SCAN) on P2PtSe at its PBEsol-relaxed geometry.

a b c (Å): 3.3673 4.4137 4.4137
angles (deg): 105.40 90.00 90.00
With the nearest neighbours (Å) after each atom.
Fractional coordinates of all 4 atoms:
P 0.0000 0.5000 0.0000  2 P 2.67, 4 Se 2.78, 4 Pt 2.78
P 0.0000 0.0000 0.5000  2 P 2.67, 4 Pt 2.78, 4 Se 2.78
Pt 0.5000 0.0000 0.0000  2 Se 2.67, 8 P 2.78
Se 0.5000 0.5000 0.5000  2 Pt 2.67, 8 P 2.78

Energy relative to the elements, uncorrected: 0.67 eV/atom
E: -1.992 Ry per atom
SG: Cmmm, No. 65
Crystal system: orthorhombic

=====

7.
VASP calculation (meta-GGA SCAN) on P2PtSe at its PBEsol-relaxed geometry.

a b c (Å): 2.6856 2.6856 10.1599
angles (deg): 90.00 90.00 90.00
With the nearest neighbours (Å) after each atom.
Fractional coordinates of all 4 atoms:
P 0.0000 0.0000 0.8208  4 Pt 2.63, 4 P 2.69
P 0.0000 0.0000 0.1792  4 Pt 2.63, 4 P 2.69
Pt 0.5000 0.5000 0.0000  8 P 2.63, 4 Pt 2.69
Se 0.5000 0.5000 0.5000  4 Se 2.69

Energy relative to the elements, uncorrected: 0.32 eV/atom
E: -2.018 Ry per atom
SG: P4/mmm, No. 123
Crystal system: tetragonal

=====

8.
VASP calculation (meta-GGA SCAN) on SiP2Pt at its PBEsol-relaxed geometry.

a b c (Å): 3.5267 3.5266 5.2657
angles (deg): 109.02 109.01 91.57
With the nearest neighbours (Å) after each atom.
Fractional coordinates of all 4 atoms:
P 0.5000 0.0000 0.5000  4 P 2.46-2.53, 2 Pt 2.65, 2 Si 2.65
P 0.0000 0.5000 0.5000  4 P 2.46-2.53, 2 Si 2.65, 2 Pt 2.65
Si 0.0000 0.0000 0.0000  4 Pt 2.46-2.53, 4 P 2.65
Pt 0.5000 0.5000 0.0000  4 Si 2.46-2.53, 4 P 2.65

Energy relative to the elements, uncorrected: 0.05 eV/atom
E: -1.852 Ry per atom
SG: Fmmm, No. 69
Energy above the lowest structure with this stoichiometry: 268 meV/atom
Crystal system: orthorhombic